Below is an optimized crystal structure of NaInMo2O8, with properties calculated at the PBE+U level.

Lattice parameters (Å, degrees): 5.162 5.162 6.730 112.55 112.55 90.00
Element x y z (fractional)
Na1 0.000 0.000 0.000
In1 0.750 0.250 0.500
Mo1 0.500 0.500 0.000
Mo2 0.250 0.750 0.500
O1 0.743 0.837 0.181
O2 0.438 0.344 0.181
O3 0.581 0.660 0.663
O4 0.082 0.003 0.663
O5 0.997 0.419 0.337
O6 0.340 0.918 0.337
O7 0.163 0.562 0.819
O8 0.656 0.257 0.819

Results
For the total energy, the calculation gives -77.1 eV for the cell shown. The density of states at the Fermi level comes out at 0.0 states/eV/f.u. Its spin magnetization is 0.000 μB per formula unit. The distance to the lowest polymorph of the same formula is 6.57 kJ/mol of atoms.